(1)
FeCuBr: relaxed, GGA-PBE. Values from VASP.

The structure in Quantum ESPRESSO input format:
```
&SYSTEM
  ibrav = 0, nat = 3, ntyp = 3
/
ATOMIC_SPECIES
Fe 55.84 Fe.upf
Cu 63.55 Cu.upf
Br 79.90 Br.upf
ATOMIC_POSITIONS angstrom
Fe 0.000 0.000 0.000
Cu 2.110 1.218 1.573
Br 0.000 2.436 3.149
CELL_PARAMETERS angstrom
4.219 0.000 0.000
-2.110 3.654 0.000
0.000 0.000 3.161
```

Calculated values
- offset from the most stable computed form (meV/atom) = 357.8
- energy relative to the elements, uncorrected (eV/atom) = 0.70
- magnetic moment (μB/f.u.) = 2.6
- symmetry = No. 156
- raw total energy (eV/atom) = -4.041
- crystal system = trigonal



(2)
Sc2CdSb: relaxed, GGA-PBE. Values from VASP.

The structure in Quantum ESPRESSO input format:
```
&SYSTEM
  ibrav = 0, nat = 4, ntyp = 3
/
ATOMIC_SPECIES
Sc 44.96 Sc.upf
Cd 112.41 Cd.upf
Sb 121.76 Sb.upf
ATOMIC_POSITIONS angstrom
Sc 0.000 0.000 5.535
Sc 0.000 0.000 17.245
Cd 0.000 0.000 0.000
Sb 0.000 0.000 11.390
CELL_PARAMETERS angstrom
1.972 1.138 7.593
-1.972 1.138 7.593
0.000 -2.277 7.593
```

Calculated values
- offset from the most stable computed form (meV/atom) = 97.2
- energy relative to the elements, uncorrected (eV/atom) = -0.42
- magnetic moment (μB/f.u.) = 0.0
- symmetry = No. 166
- raw total energy (eV/atom) = -4.844
- crystal system = trigonal



(3)
Sr2GaBiAu6: relaxed, GGA-PBE. Values from VASP.

The structure in Quantum ESPRESSO input format:
```
&SYSTEM
  ibrav = 0, nat = 20, ntyp = 4
/
ATOMIC_SPECIES
Sr 87.62 Sr.upf
Ga 69.72 Ga.upf
Bi 208.98 Bi.upf
Au 196.97 Au.upf
ATOMIC_POSITIONS angstrom
Sr 1.472 0.006 2.374
Sr 1.472 4.479 2.374
Sr 4.415 4.491 7.362
Sr 4.415 8.965 7.362
Ga 1.472 6.728 7.198
Ga 4.415 2.243 2.538
Bi 1.472 2.243 7.752
Bi 4.415 6.728 1.984
Au 0.028 6.728 9.298
Au 0.053 2.243 4.679
Au 1.472 0.052 5.819
Au 1.472 4.434 5.819
Au 2.891 2.243 4.679
Au 2.916 6.728 9.298
Au 2.971 2.243 0.438
Au 2.997 6.728 5.057
Au 4.415 4.537 3.917
Au 4.415 8.919 3.917
Au 5.834 6.728 5.057
Au 5.860 2.243 0.438
CELL_PARAMETERS angstrom
5.887 0.000 0.000
0.000 8.970 0.000
0.000 0.000 9.736
```

Calculated values
- DFT formation energy (eV per formula unit) = -4.8
- magnetic moment (μB/f.u.) = 0.0
- symmetry = No. 59
- raw total energy (eV/atom) = -3.477
- crystal system = orthorhombic



(4)
SiPtBr: relaxed, GGA-PBE. Values from VASP.

The structure in Quantum ESPRESSO input format:
```
&SYSTEM
  ibrav = 0, nat = 3, ntyp = 3
/
ATOMIC_SPECIES
Si 28.09 Si.upf
Pt 195.08 Pt.upf
Br 79.90 Br.upf
ATOMIC_POSITIONS angstrom
Si 0.000 0.000 0.000
Pt 1.844 3.056 4.501
Br 1.844 3.056 8.384
CELL_PARAMETERS angstrom
0.000 3.056 5.851
1.844 0.000 5.851
1.844 3.056 0.000
```

Calculated values
- offset from the most stable computed form (meV/atom) = 495.0
- energy relative to the elements, uncorrected (eV/atom) = 0.08
- magnetic moment (μB/f.u.) = 0.0
- symmetry = No. 42
- raw total energy (eV/atom) = -4.298
- crystal system = orthorhombic



(5)
Ac2AlNi6Ge: relaxed, GGA-PBE. Values from VASP.

The structure in Quantum ESPRESSO input format:
```
&SYSTEM
  ibrav = 0, nat = 10, ntyp = 4
/
ATOMIC_SPECIES
Ac 227.00 Ac.upf
Al 26.98 Al.upf
Ni 58.69 Ni.upf
Ge 72.64 Ge.upf
ATOMIC_POSITIONS angstrom
Ac 3.098 1.765 1.884
Ac 9.289 5.355 3.522
Al 6.193 3.560 2.703
Ni 6.185 4.918 4.687
Ni 4.968 2.804 4.633
Ni 4.981 4.319 0.767
Ni 7.406 2.801 4.639
Ni 7.419 4.316 0.772
Ni 6.202 2.203 0.719
Ge 0.000 0.000 0.000
CELL_PARAMETERS angstrom
6.200 0.000 0.000
3.099 5.424 0.000
3.088 1.697 5.406
```

Calculated values
- DFT formation energy (eV per formula unit) = -3.5
- magnetic moment (μB/f.u.) = 0.0
- symmetry = No. 2
- raw total energy (eV/atom) = -5.480
- crystal system = triclinic



(6)
Nb3FeP: relaxed, GGA-PBE. Values from VASP.

The structure in Quantum ESPRESSO input format:
```
&SYSTEM
  ibrav = 0, nat = 5, ntyp = 3
/
ATOMIC_SPECIES
Nb 92.91 Nb.upf
Fe 55.84 Fe.upf
P 30.97 P.upf
ATOMIC_POSITIONS angstrom
Nb 0.000 0.000 2.278
Nb 0.000 2.278 0.000
Nb 2.278 0.000 0.000
Fe 2.278 2.278 2.278
P 0.000 0.000 0.000
CELL_PARAMETERS angstrom
4.556 0.000 0.000
0.000 4.556 0.000
0.000 0.000 4.556
```

Calculated values
- offset from the most stable computed form (meV/atom) = 0.0
- DFT formation energy (eV per formula unit) = 3.2
- magnetic moment (μB/f.u.) = 0.0
- symmetry = No. 221
- raw total energy (eV/atom) = -8.181
- crystal system = cubic



(7)
Pr5Hg2Ru: relaxed, GGA-PBE. Values from VASP.

The structure in Quantum ESPRESSO input format:
```
&SYSTEM
  ibrav = 0, nat = 16, ntyp = 3
/
ATOMIC_SPECIES
Pr 140.91 Pr.upf
Hg 200.59 Hg.upf
Ru 101.07 Ru.upf
ATOMIC_POSITIONS angstrom
Pr 2.881 6.954 7.653
Pr 2.881 6.954 11.391
Pr 2.881 3.170 3.174
Pr 2.881 3.081 7.368
Pr 2.881 3.081 11.676
Pr 2.881 -3.081 1.020
Pr 2.881 -3.081 5.328
Pr 2.881 -3.170 9.522
Pr 2.881 -6.954 1.305
Pr 2.881 -6.954 5.043
Hg 2.881 6.040 1.690
Hg 2.881 6.040 4.658
Hg 2.881 -6.040 8.038
Hg 2.881 -6.040 11.006
Ru 2.881 4.988 9.522
Ru 2.881 -4.988 3.174
CELL_PARAMETERS angstrom
2.881 -8.076 0.000
2.881 8.076 0.000
0.000 0.000 12.696
```

Calculated values
- offset from the most stable computed form (meV/atom) = 283.1
- DFT formation energy (eV per formula unit) = -0.3
- magnetic moment (μB/f.u.) = 0.0
- symmetry = No. 63
- raw total energy (eV/atom) = -4.261
- crystal system = orthorhombic



(8)
CaScBi2Pb: relaxed, GGA-PBE. Values from VASP.

The structure in Quantum ESPRESSO input format:
```
&SYSTEM
  ibrav = 0, nat = 5, ntyp = 4
/
ATOMIC_SPECIES
Ca 40.08 Ca.upf
Sc 44.96 Sc.upf
Bi 208.98 Bi.upf
Pb 207.20 Pb.upf
ATOMIC_POSITIONS angstrom
Ca 0.000 0.000 0.000
Sc 3.087 3.087 0.000
Bi 0.000 3.087 2.787
Bi 3.087 0.000 2.787
Pb 0.000 0.000 2.787
CELL_PARAMETERS angstrom
6.174 0.000 0.000
0.000 6.174 0.000
0.000 0.000 5.575
```

Calculated values
- offset from the most stable computed form (meV/atom) = 60.4
- DFT formation energy (eV per formula unit) = 2.9
- magnetic moment (μB/f.u.) = 1.0
- symmetry = No. 123
- raw total energy (eV/atom) = -3.375
- crystal system = tetragonal



(9)
Hf2PtRh2: relaxed, GGA-PBE. Values from VASP.

The structure in Quantum ESPRESSO input format:
```
&SYSTEM
  ibrav = 0, nat = 10, ntyp = 3
/
ATOMIC_SPECIES
Hf 178.49 Hf.upf
Pt 195.08 Pt.upf
Rh 102.91 Rh.upf
ATOMIC_POSITIONS angstrom
Hf 1.215 2.570 0.000
Hf 2.570 6.354 0.000
Hf 4.999 1.215 0.000
Hf 6.354 4.999 0.000
Pt 0.000 0.000 0.000
Pt 3.784 3.784 0.000
Rh 1.032 4.816 1.559
Rh 2.753 1.032 1.559
Rh 4.816 6.537 1.559
Rh 6.537 2.753 1.559
CELL_PARAMETERS angstrom
7.569 0.000 0.000
0.000 7.569 0.000
0.000 0.000 3.118
```

Calculated values
- offset from the most stable computed form (meV/atom) = 184.4
- DFT formation energy (eV per formula unit) = -3.3
- magnetic moment (μB/f.u.) = 0.0
- symmetry = No. 127
- raw total energy (eV/atom) = -8.788
- crystal system = tetragonal



(10)
Hf6FePb2: relaxed, GGA-PBE. Values from VASP.

The structure in Quantum ESPRESSO input format:
```
&SYSTEM
  ibrav = 0, nat = 18, ntyp = 3
/
ATOMIC_SPECIES
Hf 178.49 Hf.upf
Fe 55.84 Fe.upf
Pb 207.20 Pb.upf
ATOMIC_POSITIONS angstrom
Hf -2.099 1.501 4.521
Hf -4.959 2.089 9.307
Hf -0.770 4.814 4.523
Hf -3.629 5.957 9.309
Hf 0.803 0.199 2.429
Hf -2.056 3.392 7.215
Hf 2.129 3.789 2.357
Hf -0.730 6.982 7.143
Hf 3.702 1.224 0.263
Hf 0.843 2.367 5.048
Hf 5.032 5.092 0.265
Hf 2.172 5.680 5.051
Fe 0.036 0.000 4.786
Fe 2.896 3.591 0.000
Pb -3.530 0.712 7.086
Pb -0.671 2.879 2.301
Pb 0.744 4.302 7.271
Pb 3.603 6.469 2.485
CELL_PARAMETERS angstrom
5.791 0.000 0.000
0.000 7.181 0.000
-5.718 0.000 9.572
```

Calculated values
- DFT formation energy (eV per formula unit) = 0.5
- magnetic moment (μB/f.u.) = 0.0
- symmetry = No. 14
- raw total energy (eV/atom) = -8.341
- crystal system = monoclinic



(11)
Sr6AlCd2: relaxed, GGA-PBE. Values from VASP.

The structure in Quantum ESPRESSO input format:
```
&SYSTEM
  ibrav = 0, nat = 9, ntyp = 3
/
ATOMIC_SPECIES
Sr 87.62 Sr.upf
Al 26.98 Al.upf
Cd 112.41 Cd.upf
ATOMIC_POSITIONS angstrom
Sr 2.879 1.938 8.616
Sr 2.879 5.232 5.782
Sr 2.879 9.149 5.782
Sr 2.879 5.232 11.449
Sr 2.879 9.149 11.449
Sr 2.879 12.442 8.616
Al 2.879 7.190 8.616
Cd 2.879 7.190 2.864
Cd 2.879 7.190 14.367
CELL_PARAMETERS angstrom
0.000 7.190 8.616
2.879 0.000 8.616
2.879 7.190 0.000
```

Calculated values
- DFT formation energy (eV per formula unit) = -1.7
- magnetic moment (μB/f.u.) = 0.0
- symmetry = No. 69
- raw total energy (eV/atom) = -1.926
- crystal system = orthorhombic



(12)
SmTm2Au4: relaxed, GGA-PBE. Values from VASP.

The structure in Quantum ESPRESSO input format:
```
&SYSTEM
  ibrav = 0, nat = 7, ntyp = 3
/
ATOMIC_SPECIES
Sm 150.36 Sm.upf
Tm 168.93 Tm.upf
Au 196.97 Au.upf
ATOMIC_POSITIONS angstrom
Sm 0.000 0.000 0.000
Tm 3.596 2.120 2.495
Tm 3.596 -2.120 2.495
Au 1.798 2.439 0.000
Au 1.562 0.000 2.495
Au 1.798 -2.439 0.000
Au 5.630 0.000 2.495
CELL_PARAMETERS angstrom
3.596 -4.879 0.000
3.596 4.879 0.000
0.000 0.000 4.989
```

Calculated values
- DFT formation energy (eV per formula unit) = -4.9
- magnetic moment (μB/f.u.) = 0.0
- symmetry = No. 65
- raw total energy (eV/atom) = -4.527
- crystal system = orthorhombic



(13)
GaPHIrPtS: relaxed, GGA-PBE. Values from VASP.

The structure in Quantum ESPRESSO input format:
```
&SYSTEM
  ibrav = 0, nat = 6, ntyp = 6
/
ATOMIC_SPECIES
Ga 69.72 Ga.upf
P 30.97 P.upf
H 1.01 H.upf
Ir 192.22 Ir.upf
Pt 195.08 Pt.upf
S 32.06 S.upf
ATOMIC_POSITIONS angstrom
Ga 0.000 0.000 0.000
P 3.740 4.338 3.128
H 0.802 2.105 1.576
Ir 1.942 3.424 2.006
Pt 3.792 2.452 0.008
S 2.148 1.594 3.588
CELL_PARAMETERS angstrom
3.554 0.000 0.000
1.725 4.913 0.000
0.429 1.757 5.388
```

Calculated values
- offset from the most stable computed form (meV/atom) = 65.2
- magnetic moment (μB/f.u.) = 0.0
- symmetry = No. 1
- raw total energy (eV/atom) = -5.403
- crystal system = triclinic



(14)
Na2Tl3WSe6: relaxed, GGA-PBE. Values from VASP.

The structure in Quantum ESPRESSO input format:
```
&SYSTEM
  ibrav = 0, nat = 12, ntyp = 4
/
ATOMIC_SPECIES
Na 22.99 Na.upf
Tl 204.38 Tl.upf
W 183.84 W.upf
Se 78.96 Se.upf
ATOMIC_POSITIONS angstrom
Na 3.660 4.235 0.000
Na 3.660 -4.235 0.000
Tl -1.240 0.000 3.473
Tl 2.420 2.033 3.473
Tl 2.420 -2.033 3.473
W 3.660 0.000 0.000
Se 0.145 1.800 5.472
Se 1.538 0.000 1.469
Se 0.145 -1.800 5.472
Se 4.695 1.800 1.473
Se 3.301 0.000 5.476
Se 4.695 -1.800 1.473
CELL_PARAMETERS angstrom
3.660 -6.358 0.000
3.660 6.358 0.000
-2.480 0.000 6.946
```

Calculated values
- energy relative to the elements, uncorrected (eV/atom) = -0.49
- magnetic moment (μB/f.u.) = 0.0
- symmetry = No. 12
- raw total energy (eV/atom) = -4.126
- crystal system = monoclinic



(15)
Pr12Er2Mg: relaxed, GGA-PBE. Values from VASP.

The structure in Quantum ESPRESSO input format:
```
&SYSTEM
  ibrav = 0, nat = 30, ntyp = 3
/
ATOMIC_SPECIES
Pr 140.91 Pr.upf
Er 167.26 Er.upf
Mg 24.30 Mg.upf
ATOMIC_POSITIONS angstrom
Pr 0.117 3.470 2.439
Pr 0.117 6.588 22.214
Pr 0.553 3.906 10.739
Pr 0.553 6.152 13.914
Pr 1.676 1.676 5.010
Pr 1.676 1.676 8.083
Pr 1.676 1.676 16.570
Pr 1.676 1.676 19.643
Pr 2.800 3.906 13.914
Pr 2.800 6.152 10.739
Pr 3.235 3.470 22.214
Pr 3.235 6.588 2.439
Pr 3.470 0.117 22.214
Pr 3.470 3.235 2.439
Pr 3.906 0.553 13.914
Pr 3.906 2.800 10.739
Pr 5.029 5.029 5.010
Pr 5.029 5.029 8.083
Pr 5.029 5.029 16.570
Pr 5.029 5.029 19.643
Pr 6.152 0.553 10.739
Pr 6.152 2.800 13.914
Pr 6.588 0.117 2.439
Pr 6.588 3.235 22.214
Er 1.676 5.029 6.064
Er 1.676 5.029 18.588
Er 5.029 1.676 6.064
Er 5.029 1.676 18.588
Mg 1.676 5.029 0.000
Mg 5.029 1.676 0.000
CELL_PARAMETERS angstrom
6.705 0.000 0.000
0.000 6.705 0.000
0.000 0.000 24.653
```

Calculated values
- DFT formation energy (eV per formula unit) = 4.5
- magnetic moment (μB/f.u.) = 0.0
- symmetry = No. 125
- raw total energy (eV/atom) = -4.236
- crystal system = tetragonal



(16)
Cr2SiCl: relaxed, GGA-PBE. Values from VASP.

The structure in Quantum ESPRESSO input format:
```
&SYSTEM
  ibrav = 0, nat = 4, ntyp = 3
/
ATOMIC_SPECIES
Cr 52.00 Cr.upf
Si 28.09 Si.upf
Cl 35.45 Cl.upf
ATOMIC_POSITIONS angstrom
Cr 0.000 0.000 1.409
Cr 0.000 0.000 5.503
Si 1.491 1.532 0.000
Cl 1.491 0.000 3.456
CELL_PARAMETERS angstrom
2.981 0.000 0.000
0.000 3.063 0.000
0.000 0.000 6.912
```

Calculated values
- offset from the most stable computed form (meV/atom) = 15.6
- energy relative to the elements, uncorrected (eV/atom) = 0.02
- magnetic moment (μB/f.u.) = 6.3
- symmetry = No. 47
- raw total energy (eV/atom) = -6.605
- crystal system = orthorhombic



(17)
CsTl4Zn3F12: relaxed, GGA-PBE. Values from VASP.

The structure in Quantum ESPRESSO input format:
```
&SYSTEM
  ibrav = 0, nat = 20, ntyp = 4
/
ATOMIC_SPECIES
Cs 132.91 Cs.upf
Tl 204.38 Tl.upf
Zn 65.41 Zn.upf
F 19.00 F.upf
ATOMIC_POSITIONS angstrom
Cs 0.000 0.000 0.000
Tl 2.236 2.236 -2.236
Tl 2.236 -2.236 2.236
Tl -2.236 2.236 2.236
Tl 2.236 2.236 2.236
Zn 4.472 0.000 0.000
Zn 0.000 4.472 0.000
Zn 0.000 0.000 4.472
F 2.617 0.000 0.000
F 6.327 0.000 0.000
F 4.472 2.236 0.000
F 4.472 0.000 2.236
F 0.000 2.617 0.000
F 0.000 0.000 2.617
F 2.236 4.472 0.000
F 2.236 0.000 4.472
F 0.000 6.327 0.000
F 0.000 0.000 6.327
F 0.000 4.472 2.236
F 0.000 2.236 4.472
CELL_PARAMETERS angstrom
-4.472 4.472 4.472
4.472 -4.472 4.472
4.472 4.472 -4.472
```

Calculated values
- energy relative to the elements, uncorrected (eV/atom) = -1.99
- magnetic moment (μB/f.u.) = 0.0
- symmetry = No. 229
- raw total energy (eV/atom) = -3.819
- crystal system = cubic



(18)
Tc2NiN: relaxed, GGA-PBE. Values from VASP.

The structure in Quantum ESPRESSO input format:
```
&SYSTEM
  ibrav = 0, nat = 8, ntyp = 3
/
ATOMIC_SPECIES
Tc 98.00 Tc.upf
Ni 58.69 Ni.upf
N 14.01 N.upf
ATOMIC_POSITIONS angstrom
Tc 3.629 0.837 -1.254
Tc 0.837 1.210 1.254
Tc -1.210 1.582 3.762
Tc 1.582 1.210 6.270
Ni 2.419 0.000 2.508
Ni 0.000 0.000 5.016
N 0.000 0.000 0.000
N 0.000 2.419 2.508
CELL_PARAMETERS angstrom
-2.419 2.419 5.016
2.419 -2.419 5.016
2.419 2.419 -5.016
```

Calculated values
- energy relative to the elements, uncorrected (eV/atom) = 0.60
- magnetic moment (μB/f.u.) = 0.0
- symmetry = No. 122
- raw total energy (eV/atom) = -8.110
- crystal system = tetragonal



(19)
Tl2AgBiW: relaxed, GGA-PBE. Values from VASP.

The structure in Quantum ESPRESSO input format:
```
&SYSTEM
  ibrav = 0, nat = 5, ntyp = 4
/
ATOMIC_SPECIES
Tl 204.38 Tl.upf
Ag 107.87 Ag.upf
Bi 208.98 Bi.upf
W 183.84 W.upf
ATOMIC_POSITIONS angstrom
Tl 0.000 2.728 0.000
Tl 2.728 0.000 0.000
Ag 0.000 0.000 2.661
Bi 2.728 2.728 2.661
W 2.728 2.728 0.000
CELL_PARAMETERS angstrom
5.456 0.000 0.000
0.000 5.456 0.000
0.000 0.000 5.321
```

Calculated values
- DFT formation energy (eV per formula unit) = 4.2
- magnetic moment (μB/f.u.) = 0.0
- symmetry = No. 123
- raw total energy (eV/atom) = -4.035
- crystal system = tetragonal



(20)
VCo3Rh: relaxed, GGA-PBE. Values from VASP.

The structure in Quantum ESPRESSO input format:
```
&SYSTEM
  ibrav = 0, nat = 5, ntyp = 3
/
ATOMIC_SPECIES
V 50.94 V.upf
Co 58.93 Co.upf
Rh 102.91 Rh.upf
ATOMIC_POSITIONS angstrom
V 0.000 0.000 0.000
Co 0.000 0.000 2.073
Co 0.000 2.073 0.000
Co 2.073 0.000 0.000
Rh 2.073 2.073 2.073
CELL_PARAMETERS angstrom
4.146 0.000 0.000
0.000 4.146 0.000
0.000 0.000 4.146
```

Calculated values
- offset from the most stable computed form (meV/atom) = 379.6
- DFT formation energy (eV per formula unit) = 5.4
- magnetic moment (μB/f.u.) = 2.6
- symmetry = No. 221
- raw total energy (eV/atom) = -6.474
- crystal system = cubic